First-principles (SCAN) data for a PBEsol-optimized structure of KICl4, as listed in Alexandria.

extended XYZ file:
```
24
Lattice="9.158 0.000 0.000 0.000 11.202 0.000 -3.724 0.000 8.132" Properties=species:S:1:pos:R:3 pbc="T T T"
K 0.861 1.324 1.432
K -1.001 4.277 5.498
K 6.434 6.926 2.634
K 4.572 9.878 6.700
I 1.301 5.628 2.247
I -0.561 11.176 6.313
I 5.995 0.027 1.818
I 4.133 5.575 5.884
Cl -2.640 1.471 6.321
Cl -0.778 4.131 2.255
Cl 0.164 6.942 4.042
Cl -1.698 9.862 8.108
Cl 0.434 1.489 4.560
Cl 2.296 4.112 0.494
Cl 3.215 7.166 2.302
Cl 1.352 9.637 6.368
Cl 4.081 1.565 1.764
Cl 2.219 4.036 5.829
Cl 3.137 7.090 7.638
Cl 4.999 9.714 3.572
Cl 7.132 1.341 0.024
Cl 5.269 4.260 4.090
Cl 6.212 7.072 5.877
Cl 8.074 9.732 1.811
```

## Properties
Calculated volume (Å³/cell): 834.24
Total DFT energy (no corrections) (eV/atom): -13.742